Density functional theory data (PBE-GGA) for an optimized crystal structure of Pm3AlSi6Pt2.

Properties
**Total moment**: 0.000 μB/atom
**Electronic total energy**: -5.65 eV/atom

a = 5.7885 Å, b = 5.7885 Å, c = 8.1915 Å
α = 90.00°, β = 90.00°, γ = 120.00°
Closest atoms and distances in Å follow each position.
Positions (direct):
Pm 0.0000 0.0000 0.0000  6 Si 3.02, 6 Pt 3.35
Pm 0.3333 0.6667 0.6272  9 Si 3.00-3.15, 1 Pt 3.34
Pm 0.6667 0.3333 0.3728  9 Si 3.00-3.15, 1 Pt 3.34
Al 0.0000 0.0000 0.5000  6 Si 2.63
Si 0.1935 0.3871 0.2832  2 Si 2.43, 1 Pt 2.47, 1 Al 2.63
Si 0.1935 0.8065 0.2832  2 Si 2.43, 1 Pt 2.47, 1 Al 2.63
Si 0.3871 0.1935 0.7168  2 Si 2.43, 1 Pt 2.47, 1 Al 2.63
Si 0.6129 0.8065 0.2832  2 Si 2.43, 1 Pt 2.47, 1 Al 2.63
Si 0.8065 0.1935 0.7168  2 Si 2.43, 1 Pt 2.47, 1 Al 2.63
Si 0.8065 0.6129 0.7168  2 Si 2.43, 1 Pt 2.47, 1 Al 2.63
Pt 0.3333 0.6667 0.0346  3 Si 2.47
Pt 0.6667 0.3333 0.9654  3 Si 2.47

=====

Density functional theory data (PBE-GGA) for an optimized crystal structure of AcNpP2Rh2.

Properties
**Total moment**: 0.455 μB/atom
**Electronic total energy**: -8.07 eV/atom

a = 4.1705 Å, b = 4.1705 Å, c = 7.9919 Å
α = 90.00°, β = 90.00°, γ = 120.00°
Closest atoms and distances in Å follow each position.
Positions (direct):
Ac 0.0000 0.0000 0.0000  6 P 3.18, 6 Rh 3.38
Np 0.0000 0.0000 0.5000  6 Rh 2.90, 6 P 3.08
P 0.3333 0.6667 0.2603  3 Rh 2.43
P 0.6667 0.3333 0.7397  3 Rh 2.43
Rh 0.3333 0.6667 0.7028  3 P 2.43
Rh 0.6667 0.3333 0.2972  3 P 2.43

=====

Density functional theory data (PBE-GGA) for an optimized crystal structure of La8TlPb5.

Properties
**Total moment**: 0.000 μB/atom
**Electronic total energy**: -4.88 eV/atom

a = 8.5713 Å, b = 8.5713 Å, c = 8.5713 Å
α = 109.54°, β = 109.54°, γ = 109.33°
Closest atoms and distances in Å follow each position.
Positions (direct):
La 0.0179 0.1278 0.7522  1 Tl 3.29, 5 Pb 3.29-3.58
La 0.2360 0.4827 0.6075  5 Pb 3.29-3.55, 1 Tl 3.59
La 0.3715 0.7640 0.2467  5 Pb 3.29-3.55, 1 Tl 3.59
La 0.3756 0.2656 0.2478  1 Tl 3.29, 5 Pb 3.29-3.58
La 0.5173 0.1248 0.7533  5 Pb 3.29-3.55, 1 Tl 3.59
La 0.7344 0.9821 0.1100  1 Tl 3.29, 5 Pb 3.29-3.58
La 0.8722 0.6244 0.8900  1 Tl 3.29, 5 Pb 3.29-3.58
La 0.8752 0.6285 0.3925  5 Pb 3.29-3.55, 1 Tl 3.59
Tl 0.7500 0.2500 0.5000  8 La 3.29-3.59
Pb 0.1278 0.0009 0.3762  8 La 3.29-3.58
Pb 0.2484 0.8722 0.8731  8 La 3.29-3.58
Pb 0.5000 0.5000 0.0000  8 La 3.29-3.55
Pb 0.6247 0.7516 0.6238  8 La 3.29-3.58
Pb 0.9991 0.3753 0.1269  8 La 3.29-3.58

=====

Density functional theory data (PBE-GGA) for an optimized crystal structure of La4Ga2BrCl.

Properties
**Total moment**: 0.000 μB/atom
**Electronic total energy**: -4.67 eV/atom

a = 7.4772 Å, b = 4.3727 Å, c = 7.7669 Å
α = 90.00°, β = 109.49°, γ = 90.00°
Closest atoms and distances in Å follow each position.
Positions (direct):
La 0.2381 0.0000 0.2434  3 Ga 3.05-3.08, 1 Cl 3.14, 2 Br 3.16
La 0.2418 0.5000 0.7526  3 Ga 3.05-3.09, 2 Cl 3.12, 1 Br 3.18
La 0.7582 0.5000 0.2474  3 Ga 3.05-3.09, 2 Cl 3.12, 1 Br 3.18
La 0.7619 0.0000 0.7566  3 Ga 3.05-3.08, 1 Cl 3.14, 2 Br 3.16
Ga 0.0000 0.0000 0.5000  6 La 3.08-3.09
Ga 0.0000 0.5000 0.0000  6 La 3.05
Br 0.5000 0.5000 0.5000  6 La 3.16-3.18
Cl 0.5000 0.0000 0.0000  6 La 3.12-3.14

=====

Density functional theory data (PBE-GGA) for an optimized crystal structure of HfMg2ZnAg.

Properties
**Total moment**: 0.000 μB/atom
**Electronic total energy**: -2.98 eV/atom

a = 4.7872 Å, b = 4.7872 Å, c = 5.0608 Å
α = 90.00°, β = 90.00°, γ = 90.00°
Closest atoms and distances in Å follow each position.
Positions (direct):
Hf 0.0000 0.0000 0.0000  2 Zn 2.53
Mg 0.0000 0.5000 0.5000  2 Zn 2.39
Mg 0.5000 0.0000 0.5000  2 Zn 2.39
Zn 0.0000 0.0000 0.5000  4 Mg 2.39, 2 Hf 2.53
Ag 0.5000 0.5000 0.0000  4 Hf 3.39, 8 Mg 3.48

=====

Density functional theory data (PBE-GGA) for an optimized crystal structure of ErHfTeO6.

Properties
**Total moment**: 0.040 μB/atom
**Electronic total energy**: -7.75 eV/atom

a = 5.4405 Å, b = 5.4405 Å, c = 9.6220 Å
α = 90.00°, β = 90.00°, γ = 120.00°
Closest atoms and distances in Å follow each position.
Positions (direct):
Er 0.0000 0.0000 0.0000  6 O 2.30
Er 0.0000 0.0000 0.5000  6 O 2.30
Hf 0.3333 0.6667 0.2500  6 O 2.10
Hf 0.6667 0.3333 0.7500  6 O 2.10
Te 0.3333 0.6667 0.7500  6 O 2.08
Te 0.6667 0.3333 0.2500  6 O 2.08
O 0.0031 0.3504 0.6354  1 Te 2.08, 1 Hf 2.10, 1 Er 2.30
O 0.0031 0.6526 0.8646  1 Te 2.08, 1 Hf 2.10, 1 Er 2.30
O 0.3474 0.3504 0.8646  1 Te 2.08, 1 Hf 2.10, 1 Er 2.30
O 0.3474 0.9969 0.6354  1 Te 2.08, 1 Hf 2.10, 1 Er 2.30
O 0.3504 0.0031 0.1354  1 Te 2.08, 1 Hf 2.10, 1 Er 2.30
O 0.3504 0.3474 0.3646  1 Te 2.08, 1 Hf 2.10, 1 Er 2.30
O 0.6496 0.6526 0.6354  1 Te 2.08, 1 Hf 2.10, 1 Er 2.30
O 0.6496 0.9969 0.8646  1 Te 2.08, 1 Hf 2.10, 1 Er 2.30
O 0.6526 0.0031 0.3646  1 Te 2.08, 1 Hf 2.10, 1 Er 2.30
O 0.6526 0.6496 0.1354  1 Te 2.08, 1 Hf 2.10, 1 Er 2.30
O 0.9969 0.3474 0.1354  1 Te 2.08, 1 Hf 2.10, 1 Er 2.30
O 0.9969 0.6496 0.3646  1 Te 2.08, 1 Hf 2.10, 1 Er 2.30